(1)
Material: TaTlSe2
Method: DFT, PBE
State: optimized geometry

POSCAR file:
```
TaTlSe2
1.0
4.991 0.038 0.000
-0.592 4.956 0.000
0.000 0.000 3.370
Ta Se Tl
1 2 1
direct
0.500 0.000 0.500
0.500 0.500 0.000
0.000 0.000 0.000
0.000 0.500 0.500
```

Summary:
Spin magnetization (μB/cell): 0.0
Raw formation energy (eV/f.u.): 1.41
Crystal system: orthorhombic
Density (g cm⁻³): 10.81



(2)
Material: TaTlSe2
Method: DFT, PBE
State: optimized geometry

POSCAR file:
```
TaTlSe2
1.0
-6.509 0.511 6.289
-2.942 -1.892 8.364
5.601 2.777 -6.565
Se Tl Ta
2 1 1
direct
0.340 0.840 0.500
0.021 0.021 0.000
0.691 0.191 0.500
0.448 0.448 0.000
```

Summary:
Spin magnetization (μB/cell): 0.0
Raw formation energy (eV/f.u.): -1.62
Crystal system: orthorhombic
Density (g cm⁻³): 9.05



(3)
Material: TaTlSe2
Method: DFT, PBE
State: optimized geometry

POSCAR file:
```
TaTlSe2
1.0
-8.906 -17.011 4.393
4.379 -2.809 4.276
-1.425 3.762 5.401
Se Tl Ta
16 8 8
direct
0.750 0.649 0.149
0.250 0.793 0.293
0.256 0.822 0.811
0.077 0.722 0.678
0.750 0.207 0.707
0.756 0.689 0.678
0.428 0.703 0.154
0.423 0.178 0.222
0.072 0.654 0.203
0.744 0.178 0.189
0.923 0.278 0.322
0.250 0.351 0.851
0.244 0.311 0.322
0.577 0.822 0.778
0.572 0.297 0.846
0.928 0.346 0.797
0.598 0.794 0.310
0.592 0.297 0.342
0.402 0.206 0.690
0.098 0.190 0.706
0.092 0.158 0.203
0.408 0.703 0.658
0.902 0.810 0.294
0.908 0.842 0.797
0.826 0.372 0.979
0.326 0.521 0.128
0.179 0.613 0.504
0.674 0.479 0.872
0.174 0.628 0.021
0.679 0.996 0.887
0.321 0.004 0.113
0.821 0.387 0.496
```

Summary:
Spin magnetization (μB/cell): 1.0
Raw formation energy (eV/f.u.): -1.63
Crystal system: monoclinic
Density (g cm⁻³): 8.60



(4)
Material: Ta3Tl2Se8
Method: DFT, PBE
State: optimized geometry

POSCAR file:
```
Ta3Tl2Se8
1.0
-4.428 -4.161 -2.238
1.914 1.650 -6.852
5.816 -5.231 4.257
Se Tl Ta
8 2 3
direct
0.111 0.903 0.807
0.610 0.658 0.813
0.610 0.155 0.813
0.932 0.604 0.209
0.889 0.097 0.193
0.390 0.845 0.187
0.068 0.396 0.791
0.390 0.342 0.187
0.333 0.248 0.496
0.667 0.752 0.504
0.000 0.265 0.000
0.500 0.000 0.000
0.000 0.735 0.000
```

Summary:
Spin magnetization (μB/cell): 0.0
Raw formation energy (eV/f.u.): -8.16
Crystal system: monoclinic
Density (g cm⁻³): 7.08



(5)
Material: TaTlSe2
Method: DFT, PBE
State: optimized geometry

POSCAR file:
```
TaTlSe2
1.0
-7.029 -1.238 -0.072
0.172 -1.573 10.255
-0.970 5.460 0.854
Se Tl Ta
8 4 4
direct
0.152 0.376 0.591
0.348 0.876 0.091
0.803 0.789 0.587
0.848 0.624 0.091
0.197 0.211 0.087
0.303 0.711 0.587
0.697 0.289 0.087
0.652 0.124 0.591
0.123 0.053 0.588
0.377 0.553 0.088
0.623 0.447 0.588
0.877 0.947 0.088
0.516 0.909 0.484
0.016 0.591 0.484
0.984 0.409 0.984
0.484 0.091 0.984
```

Summary:
Spin magnetization (μB/cell): 0.0
Raw formation energy (eV/f.u.): -0.99
Crystal system: orthorhombic
Density (g cm⁻³): 8.68



(6)
Material: TaTlSe2
Method: DFT, PBE
State: optimized geometry

POSCAR file:
```
TaTlSe2
1.0
5.756 0.000 0.000
0.000 3.362 0.000
0.000 0.000 20.689
Ta Tl Se
4 4 8
direct
0.916 0.250 0.207
0.416 0.250 0.293
0.584 0.750 0.707
0.084 0.750 0.793
0.744 0.250 0.951
0.756 0.750 0.451
0.256 0.750 0.049
0.244 0.250 0.549
0.718 0.250 0.620
0.225 0.250 0.701
0.275 0.750 0.201
0.282 0.750 0.380
0.782 0.750 0.120
0.725 0.250 0.799
0.218 0.250 0.880
0.775 0.750 0.299
```

Summary:
Spin magnetization (μB/cell): 0.0
Raw formation energy (eV/f.u.): -1.90
Crystal system: orthorhombic
Density (g cm⁻³): 9.01



(7)
Material: TaTlSe2
Method: DFT, PBE
State: optimized geometry

POSCAR file:
```
TaTlSe2
1.0
-2.456 -7.415 0.170
7.180 -2.331 2.016
1.449 -4.486 4.791
Se Ta Tl
4 2 2
direct
0.214 0.625 0.250
0.375 0.464 0.750
0.536 0.125 0.250
0.875 0.786 0.750
0.250 0.750 0.500
0.500 0.500 0.000
0.750 0.250 0.500
0.000 0.000 0.000
```

Summary:
Spin magnetization (μB/cell): 3.4
Raw formation energy (eV/f.u.): -0.69
Crystal system: tetragonal
Density (g cm⁻³): 7.72



(8)
Material: Ta2TlSe4
Method: DFT, PBE
State: optimized geometry

POSCAR file:
```
Ta2TlSe4
1.0
7.723 0.267 -0.132
-0.272 7.947 -0.014
-3.626 -4.324 5.613
Tl Se Ta
2 8 4
direct
0.977 0.024 0.955
0.170 0.830 0.339
0.421 0.579 0.251
0.363 0.637 0.726
0.831 0.579 0.252
0.889 0.597 0.778
0.420 0.169 0.841
0.889 0.111 0.293
0.404 0.111 0.293
0.844 0.156 0.687
0.589 0.411 0.792
0.589 0.797 0.178
0.203 0.411 0.792
0.661 0.338 0.323
```

Summary:
Spin magnetization (μB/cell): 0.0
Raw formation energy (eV/f.u.): -3.20
Crystal system: triclinic
Excess energy over the best structure of this formula in the dataset (meV per atom): 268
Density (g cm⁻³): 8.60



(9)
Material: Ta2TlSe
Method: DFT, PBE
State: optimized geometry

POSCAR file:
```
Ta2TlSe
1.0
-2.059 -6.665 -6.937
1.060 -7.453 -6.334
-1.328 -8.670 -4.456
Tl Ta Se
1 2 1
direct
0.508 0.508 0.508
0.001 0.001 0.001
0.262 0.262 0.262
0.730 0.730 0.730
```

Summary:
Spin magnetization (μB/cell): 0.0
Raw formation energy (eV/f.u.): -0.07
Crystal system: trigonal
Excess energy over the best structure of this formula in the dataset (meV per atom): 0
Density (g cm⁻³): 11.96



(10)
Material: Ta2TlSe
Method: DFT, PBE
State: optimized geometry

POSCAR file:
```
Ta2TlSe
1.0
-2.738 -1.013 1.216
-0.914 -0.971 -2.868
3.450 -7.572 1.464
Se Tl Ta
1 1 2
direct
0.500 0.500 0.813
0.000 0.000 0.480
0.000 0.000 0.984
0.500 0.500 0.223
```

Summary:
Spin magnetization (μB/cell): 0.0
Raw formation energy (eV/f.u.): 0.39
Crystal system: tetragonal
Excess energy over the best structure of this formula in the dataset (meV per atom): 115
Density (g cm⁻³): 12.68